Density functional theory data (PBE with a Hubbard U) for a geometry-optimized NiAgF3 structure.

Lattice parameters (Å, degrees): 4.0100 4.0100 4.0100 90.00 90.00 90.00
Last column: nearest neighbours and their distance in Å.
Space group Pm-3m (No. 221)
Symmetry-distinct sites (fractional):
Ni1 0.0000 0.0000 0.0000 x1  6 F 2.00
Ag1 0.5000 0.5000 0.5000 x1  12 F 2.84
F1 0.0000 0.0000 0.5000 x3  2 Ni 2.00

Values from the calculation:
calculated volume	64.5	Å³/cell
VASP energy	-3.867	eV per atom